This record from the Alexandria database describes a geometry-optimized PmNd7Er12 structure. The functional is PBE-GGA.

The structure in POSCAR format:
```
PmNd7Er12
1.0
5.985 3.456 5.407
-5.985 3.456 5.407
0.000 -6.911 5.407
Pm Nd Er
1 7 12
direct
0.000 0.000 0.000
0.074 0.157 0.398
0.157 0.398 0.074
0.398 0.074 0.157
0.500 0.500 0.500
0.602 0.926 0.843
0.843 0.602 0.926
0.926 0.843 0.602
0.134 0.497 0.620
0.146 0.741 0.274
0.259 0.726 0.854
0.274 0.146 0.741
0.380 0.866 0.503
0.497 0.620 0.134
0.503 0.380 0.866
0.620 0.134 0.497
0.726 0.854 0.259
0.741 0.274 0.146
0.854 0.259 0.726
0.866 0.503 0.380
```

**D(E_F)**: 36.6 states/eV/f.u.
**Space group**: No. 148
**ΔH_f (0 K)**: 0.2306 eV per atom
**Size of the total moment**: 0.000 μB per formula unit



This record from the Alexandria database describes a geometry-optimized Pm7Nd12Er structure. The functional is PBE-GGA.

The structure in POSCAR format:
```
Pm7Nd12Er
1.0
6.168 3.561 5.366
-6.168 3.561 5.366
0.000 -7.122 5.366
Pm Nd Er
7 12 1
direct
0.000 0.000 0.000
0.107 0.352 0.425
0.352 0.425 0.107
0.425 0.107 0.352
0.575 0.893 0.648
0.648 0.575 0.893
0.893 0.648 0.575
0.008 0.363 0.886
0.114 0.992 0.637
0.226 0.753 0.354
0.247 0.646 0.774
0.354 0.226 0.753
0.363 0.886 0.008
0.637 0.114 0.992
0.646 0.774 0.247
0.753 0.354 0.226
0.774 0.247 0.646
0.886 0.008 0.363
0.992 0.637 0.114
0.500 0.500 0.500
```

**D(E_F)**: 40.0 states/eV/f.u.
**Space group**: No. 148
**ΔH_f (0 K)**: 0.2188 eV per atom
**Size of the total moment**: 0.000 μB per formula unit